(1)
Here is a relaxed structure of NaTaSe2 from Alexandria. Energies are from PBE.

## Properties
E_tot	-5.348	eV/atom
volume	75.58	Å³/f.u.

a = 4.7458 Å, b = 4.7458 Å, c = 4.7458 Å
α = 60.00°, β = 60.00°, γ = 60.00°
Sites, in units of the cell vectors:
Na: 0.0000 0.0000 0.0000
Ta: 0.5000 0.5000 0.5000
Se: 0.2500 0.2500 0.2500
Se: 0.7500 0.7500 0.7500


(2)
Here is a relaxed structure of NaTaSe4 from Alexandria. Energies are from PBE.

## Properties
distance to the lowest polymorph of the same formula	0	kJ/mol of formula units
volume	150.47	Å³/f.u.

a = 6.5449 Å, b = 6.8029 Å, c = 6.7705 Å
α = 90.00°, β = 93.32°, γ = 90.00°
Sites, in units of the cell vectors:
Na: 0.0000 0.0000 0.0000
Na: 0.0000 0.5000 0.5000
Ta: 0.5000 0.0000 0.5000
Ta: 0.5000 0.5000 0.0000
Se: 0.1192 0.0951 0.4102
Se: 0.1192 0.4049 0.9102
Se: 0.4446 0.6593 0.3298
Se: 0.4446 0.8407 0.8298
Se: 0.5554 0.1593 0.1702
Se: 0.5554 0.3407 0.6702
Se: 0.8808 0.5951 0.0898
Se: 0.8808 0.9049 0.5898


(3)
Here is a relaxed structure of NaTaSe3 from Alexandria. Energies are from PBE.

## Properties
distance to the lowest polymorph of the same formula	97	kJ/mol of formula units
volume	131.55	Å³/f.u.

a = 5.0858 Å, b = 5.0858 Å, c = 5.0858 Å
α = 90.00°, β = 90.00°, γ = 90.00°
Sites, in units of the cell vectors:
Na: 0.0000 0.0000 0.0000
Ta: 0.5000 0.5000 0.5000
Se: 0.0000 0.5000 0.5000
Se: 0.5000 0.0000 0.5000
Se: 0.5000 0.5000 0.0000


(4)
Here is a relaxed structure of NaTaSe2 from Alexandria. Energies are from PBE.

## Properties
E_tot	-5.596	eV/atom
volume	94.19	Å³/f.u.

a = 6.9940 Å, b = 6.9940 Å, c = 6.9940 Å
α = 138.16°, β = 73.69°, γ = 122.40°
Sites, in units of the cell vectors:
Na: 0.0915 0.2500 0.3415
Na: 0.9085 0.7500 0.6585
Ta: 0.3312 0.6754 0.1559
Ta: 0.5195 0.1754 0.8441
Se: 0.2724 0.8386 0.9337
Se: 0.4411 0.3102 0.6310
Se: 0.6792 0.8102 0.3690
Se: 0.9049 0.3386 0.0663


(5)
Here is a relaxed structure of NaTaSe3 from Alexandria. Energies are from PBE.

## Properties
distance to the lowest polymorph of the same formula	45	kJ/mol of formula units
volume	123.46	Å³/f.u.

a = 7.7364 Å, b = 6.4913 Å, c = 10.2566 Å
α = 90.00°, β = 106.51°, γ = 90.00°
Sites, in units of the cell vectors:
Na: 0.1103 0.2113 0.1539
Na: 0.1103 0.2887 0.6539
Na: 0.8897 0.7113 0.3461
Na: 0.8897 0.7887 0.8461
Ta: 0.4971 0.7166 0.0674
Ta: 0.4971 0.7834 0.5674
Ta: 0.5029 0.2166 0.4326
Ta: 0.5029 0.2834 0.9326
Se: 0.2107 0.0058 0.4403
Se: 0.2107 0.4942 0.9403
Se: 0.2678 0.5005 0.4468
Se: 0.2678 0.9995 0.9468
Se: 0.4908 0.6545 0.7941
Se: 0.4908 0.8455 0.2941
Se: 0.5092 0.1545 0.7059
Se: 0.5092 0.3455 0.2059
Se: 0.7322 0.0005 0.0532
Se: 0.7322 0.4995 0.5532
Se: 0.7893 0.5058 0.0597
Se: 0.7893 0.9942 0.5597


(6)
Here is a relaxed structure of Na3TaSe from Alexandria. Energies are from PBE.

## Properties
distance to the lowest polymorph of the same formula	296	kJ/mol of formula units
volume	198.60	Å³/f.u.

a = 5.8344 Å, b = 5.8344 Å, c = 5.8344 Å
α = 90.00°, β = 90.00°, γ = 90.00°
Sites, in units of the cell vectors:
Na: 0.0000 0.0000 0.5000
Na: 0.0000 0.5000 0.0000
Na: 0.5000 0.0000 0.0000
Ta: 0.0000 0.0000 0.0000
Se: 0.5000 0.5000 0.5000


(7)
Here is a relaxed structure of NaTaSe3 from Alexandria. Energies are from PBE.

## Properties
distance to the lowest polymorph of the same formula	964	kJ/mol of formula units
volume	116.65	Å³/f.u.

a = 4.8860 Å, b = 4.8860 Å, c = 4.8860 Å
α = 90.00°, β = 90.00°, γ = 90.00°
Sites, in units of the cell vectors:
Na: 0.0000 0.0000 0.0000
Ta: 0.5000 0.5000 0.5000
Se: 0.0000 0.0000 0.5000
Se: 0.0000 0.5000 0.0000
Se: 0.5000 0.0000 0.0000


(8)
Here is a relaxed structure of NaTaSe4 from Alexandria. Energies are from PBE.

## Properties
distance to the lowest polymorph of the same formula	3	kJ/mol of formula units
volume	146.23	Å³/f.u.

a = 7.5965 Å, b = 7.5965 Å, c = 6.4502 Å
α = 102.05°, β = 102.05°, γ = 120.12°
Sites, in units of the cell vectors:
Na: 0.1410 0.8590 0.7500
Na: 0.8590 0.1410 0.2500
Ta: 0.4995 0.5005 0.2500
Ta: 0.5005 0.4995 0.7500
Se: 0.1385 0.2917 0.8589
Se: 0.2647 0.5742 0.4620
Se: 0.2917 0.1385 0.3589
Se: 0.4258 0.7353 0.0380
Se: 0.5742 0.2647 0.9620
Se: 0.7083 0.8615 0.6411
Se: 0.7353 0.4258 0.5380
Se: 0.8615 0.7083 0.1411


(9)
Here is a relaxed structure of Na5TaSe5 from Alexandria. Energies are from PBE.

## Properties
E_tot	-4.171	eV/atom
volume	291.96	Å³/f.u.

a = 7.3950 Å, b = 7.3950 Å, c = 8.1373 Å
α = 106.87°, β = 106.87°, γ = 43.69°
Sites, in units of the cell vectors:
Na: 0.0000 0.0000 0.0000
Na: 0.3033 0.3033 0.1807
Na: 0.3169 0.3169 0.6387
Na: 0.6831 0.6831 0.3613
Na: 0.6967 0.6967 0.8193
Ta: 0.0000 0.0000 0.5000
Se: 0.1351 0.1351 0.3383
Se: 0.1454 0.1454 0.7990
Se: 0.5000 0.5000 0.5000
Se: 0.8546 0.8546 0.2010
Se: 0.8649 0.8649 0.6617


(10)
Here is a relaxed structure of NaTaSe2 from Alexandria. Energies are from PBE.

## Properties
E_tot	-5.945	eV/atom
volume	83.05	Å³/f.u.

a = 3.5471 Å, b = 3.5471 Å, c = 7.6214 Å
α = 90.00°, β = 90.00°, γ = 120.00°
Sites, in units of the cell vectors:
Na: 0.0000 0.0000 0.0000
Ta: 0.6667 0.3333 0.5000
Se: 0.3333 0.6667 0.2826
Se: 0.3333 0.6667 0.7174


(11)
Here is a relaxed structure of Na3TaSe4 from Alexandria. Energies are from PBE.

## Properties
E_tot	-4.695	eV/atom
volume	265.21	Å³/f.u.

a = 9.0492 Å, b = 7.9790 Å, c = 7.3463 Å
α = 90.00°, β = 90.00°, γ = 90.00°
Sites, in units of the cell vectors:
Na: 0.0000 0.1466 0.0000
Na: 0.2428 0.3235 0.4927
Na: 0.2572 0.6765 0.9927
Na: 0.5000 0.8534 0.5000
Na: 0.7428 0.6765 0.9927
Na: 0.7572 0.3235 0.4927
Ta: 0.0000 0.8194 0.4912
Ta: 0.5000 0.1806 0.9912
Se: 0.0000 0.1053 0.6002
Se: 0.0000 0.8173 0.1634
Se: 0.2206 0.6767 0.5960
Se: 0.2794 0.3233 0.0960
Se: 0.5000 0.1827 0.6634
Se: 0.5000 0.8947 0.1002
Se: 0.7206 0.3233 0.0960
Se: 0.7794 0.6767 0.5960


(12)
Here is a relaxed structure of NaTaSe3 from Alexandria. Energies are from PBE.

## Properties
distance to the lowest polymorph of the same formula	0	kJ/mol of formula units
volume	133.05	Å³/f.u.

a = 9.1046 Å, b = 9.1046 Å, c = 6.6604 Å
α = 97.08°, β = 97.08°, γ = 77.48°
Sites, in units of the cell vectors:
Na: 0.1107 0.8893 0.7500
Na: 0.2713 0.7287 0.2500
Na: 0.7287 0.2713 0.7500
Na: 0.8893 0.1107 0.2500
Ta: 0.1675 0.3220 0.0343
Ta: 0.3220 0.1675 0.5343
Ta: 0.6780 0.8325 0.4657
Ta: 0.8325 0.6780 0.9657
Se: 0.0628 0.2128 0.6442
Se: 0.1072 0.5953 0.8902
Se: 0.2128 0.0628 0.1442
Se: 0.2905 0.4196 0.3599
Se: 0.4047 0.8928 0.6098
Se: 0.4196 0.2905 0.8599
Se: 0.5804 0.7095 0.1401
Se: 0.5953 0.1072 0.3902
Se: 0.7095 0.5804 0.6401
Se: 0.7872 0.9372 0.8558
Se: 0.8928 0.4047 0.1098
Se: 0.9372 0.7872 0.3558


Look up the volume of the fifth one.
123.46 Å³/f.u.